DFT (PBE with a Hubbard U) results for a relaxed ZnCoPdF6 crystal.

The structure in extended XYZ format:
```
18
Lattice="5.345 0.000 0.000 -2.672 4.629 0.000 0.000 0.000 9.332" Properties=species:S:1:pos:R:3 pbc="T T T"
Zn 0.000 3.086 2.333
Zn 2.672 1.543 6.999
Co 0.000 3.086 6.999
Co 2.672 1.543 2.333
Pd 0.000 0.000 0.000
Pd 0.000 0.000 4.666
F -0.914 1.604 5.918
F -1.741 3.035 8.080
F 0.914 1.604 8.080
F -0.827 4.618 5.918
F 1.846 0.010 1.252
F 0.932 1.593 3.414
F 1.741 3.035 5.918
F 0.827 4.618 8.080
F 3.499 0.010 3.414
F 1.758 3.025 1.252
F 4.413 1.593 1.252
F 3.586 3.025 3.414
```

Calculated values
Total energy, eV/cell: -78.5
Total moment, μB per atom: 0.11
Space-group type: P-31c (163)